Computed, not measured: a relaxed YInB3 crystal at the PBE-GGA level of DFT.

The calculation puts the energy above the most stable polymorph in this dataset at 0.00 eV/f.u. Its electronic total energy is -4.3224 eV per atom. The density of states at the Fermi level comes out at 2.62 states/eV per cell. For the formation energy from the elements, the calculation gives 1525 meV/atom.

It has space group Pm-3m (No. 221), with a = 4.430 Å, b = 4.430 Å, c = 4.430 Å, α = 90.00°, β = 90.00° and γ = 90.00°. The asymmetric unit holds Y at (0.000, 0.000, 0.000), In at (0.500, 0.500, 0.500) and B at (0.000, 0.500, 0.500).